[1]
{"formula": "V2PdBrN", "functional": "GGA-PBE", "state": "relaxed", "magnetic_moment_mub_per_atom": 1.322, "n_ef_per_ev_atom": 1.379, "e_form_raw_ev_per_atom": 0.99, "lattice_angstrom": [[5.1639, 0.0000, 0.0000], [0.0000, 5.1639, 0.0000], [0.0000, 0.0000, 3.7091]], "species": ["V", "V", "Pd", "Br", "N"], "frac_coords": [[0.0000, 0.5000, 0.0000], [0.5000, 0.0000, 0.0000], [0.0000, 0.0000, 0.0000], [0.5000, 0.5000, 0.5000], [0.0000, 0.0000, 0.5000]]}

[2]
{"formula": "PtSe5", "functional": "GGA-PBE", "state": "relaxed", "relative_energy_ev_per_atom": 1.075, "magnetic_moment_mub_per_atom": 0.000, "n_ef_per_ev_atom": 1.211, "e_form_raw_ev_per_atom": 0.97, "lattice_angstrom": [[0.0000, 3.9577, 3.9577], [3.9577, 0.0000, 3.9577], [3.9577, 3.9577, 0.0000]], "species": ["Pt", "Se", "Se", "Se", "Se", "Se"], "frac_coords": [[0.0000, 0.0000, 0.0000], [0.3731, 0.3731, 0.3731], [0.3731, 0.3731, 0.8806], [0.3731, 0.8806, 0.3731], [0.7500, 0.7500, 0.7500], [0.8806, 0.3731, 0.3731]]}

[3]
{"formula": "NaLiCdBi", "functional": "GGA-PBE", "state": "relaxed", "relative_energy_ev_per_atom": 0.029, "magnetic_moment_mub_per_atom": 0.000, "n_ef_per_ev_atom": 0.749, "formation_energy_ev_per_atom": -0.2095, "lattice_angstrom": [[0.0000, 3.7042, 3.7042], [3.7042, 0.0000, 3.7042], [3.7042, 3.7042, 0.0000]], "species": ["Na", "Li", "Cd", "Bi"], "frac_coords": [[0.0000, 0.0000, 0.0000], [0.7500, 0.7500, 0.7500], [0.2500, 0.2500, 0.2500], [0.5000, 0.5000, 0.5000]]}

[4]
{"formula": "MgAl2Rh", "functional": "GGA-PBE", "state": "relaxed", "magnetic_moment_mub_per_atom": 0.000, "n_ef_per_ev_atom": 0.454, "formation_energy_ev_per_atom": -0.4533, "lattice_angstrom": [[3.9660, 0.0000, 0.0000], [0.0000, 3.9660, 0.0000], [0.0000, 0.0000, 3.9083]], "species": ["Mg", "Al", "Al", "Rh"], "frac_coords": [[0.0000, 0.0000, 0.0000], [0.0000, 0.5000, 0.5000], [0.5000, 0.0000, 0.5000], [0.5000, 0.5000, 0.0000]]}